# HfAl2Co | Alexandria | PBE | relaxed
data_HfAl2Co
_cell_length_a 3.743
_cell_length_b 3.743
_cell_length_c 19.367
_cell_angle_alpha 90.00
_cell_angle_beta 90.00
_cell_angle_gamma 90.00
_space_group_name_H-M_alt 'I -4 2 d'
_space_group_IT_number 122
_space_group_name_Hall 'I -4 2bw'
loop_
_atom_site_label
_atom_site_type_symbol
_atom_site_fract_x
_atom_site_fract_y
_atom_site_fract_z
_atom_site_occupancy
Hf1 Hf 0.000 0.000 0.000 1
Al1 Al 0.240 0.250 0.625 1
Co1 Co 0.000 0.000 0.500 1
# DOS(E_F) = 8.888 states/eV per cell
# magnetization = 0.00 μB/cell
# calculated formation energy = 6 kJ per mole of atoms
# density = 7.13 Mg/m³